Entry 1:
# YMg8, optimized geometry, DFT GGA-PBEsol
data_YMg8
_cell_length_a 9.474
_cell_length_b 9.474
_cell_length_c 4.697
_cell_angle_alpha 90.00
_cell_angle_beta 90.00
_cell_angle_gamma 90.00
_space_group_name_H-M_alt 'I 4/m m m'
_space_group_IT_number 139
_space_group_name_Hall '-I 4 2'
loop_
_atom_site_label
_atom_site_type_symbol
_atom_site_fract_x
_atom_site_fract_y
_atom_site_fract_z
Y1 Y 0.000 0.000 0.000
Mg1 Mg 0.000 0.338 0.000
Mg2 Mg 0.171 0.171 0.500
# * E_form: -0.038 eV/atom
# * uncorrected energy: -2.32 eV per atom

=====

Entry 2:
# Y3Mg, optimized geometry, DFT GGA-PBEsol
data_Y3Mg
_cell_length_a 3.540
_cell_length_b 5.527
_cell_length_c 5.928
_cell_angle_alpha 90.00
_cell_angle_beta 90.00
_cell_angle_gamma 90.00
_space_group_name_H-M_alt 'P m m 2'
_space_group_IT_number 25
_space_group_name_Hall 'P 2 -2'
loop_
_atom_site_label
_atom_site_type_symbol
_atom_site_fract_x
_atom_site_fract_y
_atom_site_fract_z
Y1 Y 0.000 0.000 0.000
Y2 Y 0.000 0.500 0.356
Y3 Y 0.500 0.500 0.853
Mg1 Mg 0.500 0.000 0.509
# * E_form: 0.035 eV/atom
# * uncorrected energy: -5.51 eV per atom

=====

Entry 3:
# Y3Mg, optimized geometry, DFT GGA-PBEsol
data_Y3Mg
_cell_length_a 7.107
_cell_length_b 11.750
_cell_length_c 5.524
_cell_angle_alpha 90.00
_cell_angle_beta 90.00
_cell_angle_gamma 90.00
_space_group_name_H-M_alt 'C m c m'
_space_group_IT_number 63
_space_group_name_Hall '-C 2c 2'
loop_
_atom_site_label
_atom_site_type_symbol
_atom_site_fract_x
_atom_site_fract_y
_atom_site_fract_z
Y1 Y 0.000 0.086 0.250
Y2 Y 0.250 0.159 0.750
Mg1 Mg 0.000 0.406 0.750
# * E_form: 0.016 eV/atom
# * uncorrected energy: -5.53 eV per atom

=====

Entry 4:
# Y3Mg, optimized geometry, DFT GGA-PBEsol
data_Y3Mg
_cell_length_a 6.9551
_cell_length_b 6.9551
_cell_length_c 5.4988
_cell_angle_alpha 90.00
_cell_angle_beta 90.00
_cell_angle_gamma 120.00
_space_group_name_H-M_alt 'P 63/m m c'
_space_group_IT_number 194
_space_group_name_Hall '-P 6c 2c'
loop_
_atom_site_label
_atom_site_type_symbol
_atom_site_fract_x
_atom_site_fract_y
_atom_site_fract_z
Y1 Y 0.1701 0.3403 0.2500
Mg1 Mg 0.3333 0.6667 0.7500
# * E_form: 0.001 eV/atom
# * uncorrected energy: -5.54 eV per atom